Compound: Tb4Pr8Er
Source: Alexandria
Functional: PBE
Structure: relaxed

Results
energy of formation	2.4	eV per formula unit
spin magnetization	0.00	μB/f.u.
Fermi-level density of states	1.033	states/eV per atom

Structure (POSCAR):
```
Tb4Pr8Er
1.0
-2.537 -5.148 -4.546
7.047 1.967 -0.263
1.521 -4.143 9.738
Tb Pr Er
4 8 1
Direct
0.000 0.000 0.000 Tb
0.000 0.500 0.000 Tb
0.500 0.500 0.000 Tb
0.500 0.000 0.000 Tb
0.577 0.788 0.365 Pr
0.423 0.212 0.635 Pr
0.498 0.249 0.290 Pr
0.960 0.208 0.710 Pr
0.502 0.751 0.710 Pr
0.960 0.751 0.710 Pr
0.040 0.249 0.290 Pr
0.040 0.792 0.290 Pr
0.000 0.500 0.500 Er
```



Compound: TbPr5Er2
Source: Alexandria
Functional: PBE
Structure: relaxed

Results
polymorph energy (0 for the lowest one)	86.7	meV/atom
energy of formation	1.6	eV per formula unit
spin magnetization	0.00	μB/f.u.
Fermi-level density of states	1.572	states/eV per atom

Structure (POSCAR):
```
TbPr5Er2
1.0
7.771 -0.541 6.000
-1.231 7.691 6.000
2.051 2.243 13.133
Tb Pr Er
2 10 4
Direct
0.757 0.243 0.250 Tb
0.243 0.757 0.750 Tb
0.512 0.488 0.750 Pr
0.488 0.512 0.250 Pr
0.458 0.984 0.769 Pr
0.002 0.984 0.131 Pr
0.984 0.458 0.269 Pr
0.016 0.998 0.369 Pr
0.984 0.002 0.631 Pr
0.998 0.016 0.869 Pr
0.016 0.542 0.731 Pr
0.542 0.016 0.231 Pr
0.500 0.000 0.000 Er
0.500 0.500 0.000 Er
0.500 0.500 0.500 Er
0.000 0.500 0.500 Er
```



Compound: Tb5Pr2Er3
Source: Alexandria
Functional: PBE
Structure: relaxed

Results
polymorph energy (0 for the lowest one)	211.7	meV/atom
energy of formation	4.1	eV per formula unit
spin magnetization	0.01	μB/f.u.
Fermi-level density of states	1.496	states/eV per atom

Structure (POSCAR):
```
Tb5Pr2Er3
1.0
-4.841 -4.254 2.184
5.840 -10.203 3.673
3.947 -4.383 10.812
Tb Pr Er
10 4 6
Direct
0.250 0.500 0.500 Tb
0.750 0.500 0.500 Tb
0.501 0.749 0.749 Tb
0.999 0.251 0.251 Tb
0.499 0.251 0.251 Tb
0.001 0.749 0.749 Tb
0.125 0.464 0.286 Tb
0.875 0.536 0.714 Tb
0.625 0.286 0.464 Tb
0.375 0.714 0.536 Tb
0.125 0.772 0.979 Pr
0.875 0.228 0.021 Pr
0.625 0.979 0.772 Pr
0.375 0.021 0.228 Pr
0.250 0.000 0.000 Er
0.750 0.000 0.000 Er
0.377 0.373 0.873 Er
0.623 0.627 0.127 Er
0.877 0.873 0.373 Er
0.123 0.127 0.627 Er
```



Compound: Tb7Pr12Er
Source: Alexandria
Functional: PBE
Structure: relaxed

Results
polymorph energy (0 for the lowest one)	8.0	meV/atom
energy of formation	4.5	eV per formula unit
spin magnetization	0.00	μB/f.u.
Fermi-level density of states	1.955	states/eV per atom

Structure (POSCAR):
```
Tb7Pr12Er
1.0
-5.472 5.821 3.886
-0.145 -4.763 7.498
6.841 4.582 3.337
Tb Pr Er
7 12 1
Direct
0.855 0.614 0.932 Tb
0.386 0.068 0.145 Tb
0.068 0.145 0.386 Tb
0.500 0.500 0.500 Tb
0.932 0.855 0.614 Tb
0.614 0.932 0.855 Tb
0.145 0.386 0.068 Tb
0.854 0.257 0.726 Pr
0.743 0.274 0.146 Pr
0.610 0.141 0.488 Pr
0.859 0.512 0.390 Pr
0.274 0.146 0.743 Pr
0.512 0.390 0.859 Pr
0.488 0.610 0.141 Pr
0.726 0.854 0.257 Pr
0.141 0.488 0.610 Pr
0.390 0.859 0.512 Pr
0.257 0.726 0.854 Pr
0.146 0.743 0.274 Pr
0.000 0.000 0.000 Er
```



Compound: Tb3Pr2Er
Source: Alexandria
Functional: PBE
Structure: relaxed

Results
polymorph energy (0 for the lowest one)	0.0	meV/atom
energy of formation	0.4	eV per formula unit
spin magnetization	0.00	μB/f.u.
Fermi-level density of states	1.834	states/eV per atom

Structure (POSCAR):
```
Tb3Pr2Er
1.0
-1.846 -1.535 -5.141
-2.993 -8.620 3.648
-6.354 2.816 1.441
Tb Pr Er
6 4 2
Direct
0.000 0.000 0.000 Tb
0.500 0.500 0.500 Tb
0.500 0.833 0.750 Tb
0.500 0.167 0.250 Tb
0.000 0.333 0.750 Tb
0.000 0.667 0.250 Tb
0.500 0.833 0.251 Pr
0.000 0.333 0.249 Pr
0.000 0.667 0.751 Pr
0.500 0.167 0.749 Pr
0.000 0.000 0.500 Er
0.500 0.500 0.000 Er
```



Compound: TbPr15Er4
Source: Alexandria
Functional: PBE
Structure: relaxed

Results
energy of formation	0.2	eV per formula unit
spin magnetization	0.00	μB/f.u.
Fermi-level density of states	1.329	states/eV per atom

Structure (POSCAR):
```
TbPr15Er4
1.0
5.190 0.000 0.000
0.000 5.190 0.000
0.000 0.000 25.818
Tb Pr Er
1 15 4
Direct
0.000 0.000 0.000 Tb
0.500 0.500 0.000 Pr
0.500 0.500 0.200 Pr
0.500 0.500 0.400 Pr
0.500 0.500 0.600 Pr
0.500 0.500 0.800 Pr
0.500 0.000 0.100 Pr
0.500 0.000 0.300 Pr
0.500 0.000 0.500 Pr
0.500 0.000 0.700 Pr
0.500 0.000 0.900 Pr
0.000 0.500 0.100 Pr
0.000 0.500 0.300 Pr
0.000 0.500 0.500 Pr
0.000 0.500 0.700 Pr
0.000 0.500 0.900 Pr
0.000 0.000 0.200 Er
0.000 0.000 0.400 Er
0.000 0.000 0.600 Er
0.000 0.000 0.800 Er
```



Summary of raw total energy in eV per atom
-4.530 -4.501 -4.235 -4.493 -4.603 -4.719
(order as listed above)